Record 1
Li8SiS6: relaxed, PBE.

a = 7.087 Å, b = 7.251 Å, c = 10.104 Å
α = 90.00°, β = 90.00°, γ = 90.00°
Fractional coordinates of all 30 atoms:
Li (0.000, 0.131, 0.000)
Li (0.000, 0.239, 0.449)
Li (0.188, 0.643, 0.116)
Li (0.198, 0.579, 0.804)
Li (0.230, 0.941, 0.767)
Li (0.270, 0.059, 0.267)
Li (0.302, 0.421, 0.304)
Li (0.312, 0.357, 0.616)
Li (0.500, 0.761, 0.949)
Li (0.500, 0.869, 0.500)
Li (0.688, 0.357, 0.616)
Li (0.698, 0.421, 0.304)
Li (0.730, 0.059, 0.267)
Li (0.770, 0.941, 0.767)
Li (0.802, 0.579, 0.804)
Li (0.812, 0.643, 0.116)
Si (0.000, 0.747, 0.467)
Si (0.500, 0.253, 0.967)
S (0.000, 0.281, 0.222)
S (0.000, 0.505, 0.595)
S (0.000, 0.777, 0.941)
S (0.000, 0.984, 0.590)
S (0.247, 0.744, 0.347)
S (0.253, 0.256, 0.847)
S (0.500, 0.016, 0.090)
S (0.500, 0.223, 0.441)
S (0.500, 0.495, 0.095)
S (0.500, 0.719, 0.722)
S (0.747, 0.256, 0.847)
S (0.753, 0.744, 0.347)

Output
E_form (uncorrected) in eV/atom: -1.1799
Space-group type: Pmn2_1

=====

Record 2
CaLaMg2Ir: relaxed, PBE.

a = 5.263 Å, b = 5.263 Å, c = 5.361 Å
α = 90.00°, β = 90.00°, γ = 90.00°
Fractional coordinates of all 5 atoms:
Ca (0.000, 0.000, 0.000)
La (0.500, 0.500, 0.000)
Mg (0.000, 0.500, 0.500)
Mg (0.500, 0.000, 0.500)
Ir (0.500, 0.500, 0.500)

Output
Energy above the most stable polymorph in this dataset in kcal/mol of atoms: 0.00
Space-group type: P4/mmm
Energy of formation from the pure elements in eV/atom: -0.271

=====

Record 3
MgCuSiOs2: relaxed, PBE.

a = 4.397 Å, b = 4.397 Å, c = 4.657 Å
α = 90.00°, β = 90.00°, γ = 90.00°
Fractional coordinates of all 5 atoms:
Mg (0.000, 0.000, 0.000)
Cu (0.500, 0.500, 0.000)
Si (0.000, 0.000, 0.500)
Os (0.000, 0.500, 0.500)
Os (0.500, 0.000, 0.500)

Output
E_form (uncorrected) in eV/atom: 1.0325
Space-group type: P4/mmm

=====

Record 4
BeSbOs2: relaxed, PBE.

a = 5.740 Å, b = 8.434 Å, c = 2.926 Å
α = 90.00°, β = 119.57°, γ = 90.00°
Fractional coordinates of all 8 atoms:
Be (0.000, 0.000, 0.000)
Be (0.500, 0.500, 0.000)
Sb (0.000, 0.500, 0.000)
Sb (0.500, 0.000, 0.000)
Os (0.250, 0.250, 0.500)
Os (0.250, 0.750, 0.500)
Os (0.750, 0.250, 0.500)
Os (0.750, 0.750, 0.500)

Output
E_form (uncorrected) in eV/atom: 0.6718
Energy above the most stable polymorph in this dataset in kcal/mol of atoms: 8.28
Space-group type: C2/m

=====

Record 5
CeHo8Tm3: relaxed, PBE.

a = 9.308 Å, b = 9.308 Å, c = 9.308 Å
α = 131.88°, β = 131.88°, γ = 70.43°
Fractional coordinates of all 12 atoms:
Ce (0.000, 0.000, 0.000)
Ho (0.124, 0.124, 0.497)
Ho (0.124, 0.627, 0.000)
Ho (0.373, 0.373, 0.497)
Ho (0.373, 0.876, 0.000)
Ho (0.627, 0.124, 0.000)
Ho (0.627, 0.627, 0.503)
Ho (0.876, 0.373, 0.000)
Ho (0.876, 0.876, 0.503)
Tm (0.250, 0.750, 0.500)
Tm (0.500, 0.500, 0.000)
Tm (0.750, 0.250, 0.500)

Output
Space-group type: I4/mmm
Energy of formation from the pure elements in eV/atom: 0.759

=====

Record 6
ZrAg: relaxed, PBE.

a = 3.038 Å, b = 3.038 Å, c = 15.328 Å
α = 90.00°, β = 90.00°, γ = 120.00°
Fractional coordinates of all 6 atoms:
Zr (0.000, 0.000, 0.000)
Zr (0.333, 0.667, 0.667)
Zr (0.667, 0.333, 0.333)
Ag (0.000, 0.000, 0.500)
Ag (0.333, 0.667, 0.167)
Ag (0.667, 0.333, 0.833)

Output
Space-group type: R-3m
Energy of formation from the pure elements in eV/atom: 0.099

=====

| no. | spin magnetization (μB/cell) | V (Å³/f.u.) |
| --- | --- | --- |
| 1 | 0.00 | 259.6 |
| 2 | 0.00 | 148.5 |
| 3 | 0.00 | 90.0 |
| 4 | 0.00 | 61.6 |
| 5 | 1.68 | 438.2 |
| 6 | 0.00 | 40.8 |